[1]
Computed, not measured: a relaxed Ho4ScHg5 crystal at the PBE level of DFT.

Structure (POSCAR):
```
Ho4ScHg5
1.0
3.664 0.000 0.000
0.000 3.664 0.000
0.000 0.000 18.418
Ho Sc Hg
4 1 5
Direct
0.000 0.000 0.194
0.000 0.000 0.398
0.000 0.000 0.602
0.000 0.000 0.806
0.000 0.000 0.000
0.500 0.500 0.091
0.500 0.500 0.296
0.500 0.500 0.500
0.500 0.500 0.704
0.500 0.500 0.909
```

Properties
spin magnetization = 0.0 μB/f.u.
crystal system = tetragonal
total DFT energy (no corrections) = -3.082 eV per atom

[2]
Computed, not measured: a relaxed LiIrRu crystal at the PBE level of DFT.

Structure (POSCAR):
```
LiIrRu
1.0
-7.008 4.483 -3.290
-4.406 -0.687 -0.482
2.300 -0.135 3.848
Ru Ir Li
2 2 2
Direct
0.528 0.131 0.869
0.472 0.869 0.131
0.752 0.228 0.772
0.248 0.772 0.228
0.032 0.641 0.359
0.968 0.359 0.641
```

Properties
spin magnetization = 0.0 μB/f.u.
crystal system = monoclinic
relative energy among the computed polymorphs = 0.0278 eV/atom
total DFT energy (no corrections) = -6.673 eV per atom

[3]
Computed, not measured: a relaxed Pr2YZn2Ga2 crystal at the PBE level of DFT.

Structure (POSCAR):
```
Pr2YZn2Ga2
1.0
-4.336 0.434 -0.948
-3.059 -1.880 2.643
-2.825 7.642 5.928
Pr Y Zn Ga
2 1 2 2
Direct
0.124 0.124 0.628
0.876 0.876 0.372
0.000 0.000 0.000
0.609 0.609 0.172
0.391 0.391 0.828
0.729 0.729 0.813
0.271 0.271 0.187
```

Properties
spin magnetization = 0.0 μB/f.u.
crystal system = trigonal
total DFT energy (no corrections) = -3.931 eV per atom

[4]
Computed, not measured: a relaxed NaLa2Ag6 crystal at the PBE level of DFT.

Structure (POSCAR):
```
NaLa2Ag6
1.0
-3.038 0.597 1.874
-2.137 -8.065 -0.884
2.418 -5.635 5.726
Na La Ag
1 2 6
Direct
0.000 0.000 0.000
0.000 0.333 0.333
0.000 0.667 0.667
0.499 0.669 0.000
0.501 0.000 0.331
0.501 0.331 0.000
0.500 0.669 0.331
0.499 0.000 0.669
0.500 0.331 0.669
```

Properties
spin magnetization = 0.0 μB/f.u.
crystal system = hexagonal
total DFT energy (no corrections) = -3.305 eV per atom